This record from Alexandria via LeMat-Bulk describes a relaxed Th2CuP4 crystal. The functional is PBE. Values from VASP.

Values from the calculation:
final energy = -6.7587 eV per atom
calculated formation energy = -650 kJ/mol of formula units
magnetic moment = 0.00 μB per cell

```
&SYSTEM
  ibrav = 0, nat = 7, ntyp = 3
/
ATOMIC_SPECIES
Th 232.04 Th.upf
P 30.97 P.upf
Cu 63.55 Cu.upf
ATOMIC_POSITIONS angstrom
Th 0.6118 -3.0126 0.3183
P -1.5012 -1.4972 -1.0635
P -1.4919 -7.6854 2.6769
P -1.2410 -5.2907 -0.3510
Cu 0.5110 -1.3987 -2.3154
P -1.7521 -3.8920 1.9644
Th -3.6049 -6.1701 1.2951
CELL_PARAMETERS angstrom
-1.9917 -0.7490 -3.2603
3.0138 -2.0485 -1.3705
-3.5041 -7.7839 3.9288
```

This record from Alexandria via LeMat-Bulk describes a relaxed Ti2Cu2P crystal. The functional is PBE. Values from VASP.

Values from the calculation:
final energy = -6.0361 eV per atom
calculated formation energy = -76 kJ/mol of formula units
magnetic moment = 0.00 μB per cell

```
&SYSTEM
  ibrav = 0, nat = 10, ntyp = 3
/
ATOMIC_SPECIES
Cu 63.55 Cu.upf
Ti 47.87 Ti.upf
P 30.97 P.upf
ATOMIC_POSITIONS angstrom
Cu 4.0378 5.4824 1.9496
Ti 1.0185 2.1549 0.0000
Ti 2.1549 5.3282 0.0000
Ti 4.1919 1.0185 0.0000
Cu 5.4824 2.3090 1.9496
P 3.1734 3.1734 0.0000
Ti 5.3282 4.1919 0.0000
P 0.0000 0.0000 0.0000
Cu 0.8644 4.0378 1.9496
Cu 2.3090 0.8644 1.9496
CELL_PARAMETERS angstrom
6.3467 0.0000 0.0000
0.0000 6.3467 0.0000
0.0000 0.0000 3.8991
```

This record from Alexandria via LeMat-Bulk describes a relaxed TiCu2P2 crystal. The functional is PBE. Values from VASP.

Values from the calculation:
final energy = -5.5734 eV per atom
calculated formation energy = -93 kJ/mol of formula units
magnetic moment = 0.00 μB per cell

```
&SYSTEM
  ibrav = 0, nat = 10, ntyp = 3
/
ATOMIC_SPECIES
P 30.97 P.upf
Ti 47.87 Ti.upf
Cu 63.55 Cu.upf
ATOMIC_POSITIONS angstrom
P 1.1272 -4.7127 3.4364
Ti 0.0000 0.0000 0.0000
P 0.0345 -4.2376 -1.3435
Cu -1.3094 -6.1642 -0.5734
Cu -0.6848 -3.0327 3.3631
P 0.4500 -2.0307 1.3193
Cu -1.4835 -2.6149 -0.1059
Ti 0.5808 -4.4751 1.0464
P 0.7116 -6.9196 0.7736
Cu -0.5106 -6.5820 2.8956
CELL_PARAMETERS angstrom
-0.3017 -5.6189 -3.3550
1.4634 -3.3314 5.4478
-3.1558 -0.2466 0.6969
```

This record from Alexandria via LeMat-Bulk describes a relaxed TiCu2P crystal. The functional is PBE. Values from VASP.

Values from the calculation:
final energy = -5.9470 eV per atom
calculated formation energy = -221 kJ/mol of formula units
magnetic moment = 0.00 μB per cell

```
&SYSTEM
  ibrav = 0, nat = 16, ntyp = 3
/
ATOMIC_SPECIES
P 30.97 P.upf
Cu 63.55 Cu.upf
Ti 47.87 Ti.upf
ATOMIC_POSITIONS angstrom
P -9.4519 -9.6506 23.0433
P -2.4136 -2.4643 5.8842
Cu -1.9225 -0.2444 5.1356
Cu -10.7389 -10.9646 26.1808
P -0.6355 1.0696 1.9981
Cu -2.4770 -4.3671 10.6565
Cu -4.7775 -4.8779 11.6472
Ti 1.3138 -0.4966 1.4148
Cu -4.1757 -2.5450 10.6289
P -5.4627 -3.8590 13.7664
Cu -0.1664 -2.0080 5.0235
Ti -3.9572 -5.8784 14.2652
Ti -3.2973 -3.3666 8.0385
Cu -7.0880 -7.2370 17.2802
Cu -1.1266 -1.1503 2.7466
Ti -8.5683 -8.7484 20.8889
CELL_PARAMETERS angstrom
-7.6602 -4.2646 14.5060
-4.2054 -7.8503 14.4214
7.4947 7.5327 -13.2052
```

This record from Alexandria via LeMat-Bulk describes a relaxed TiCu2P2 crystal. The functional is PBE. Values from VASP.

Values from the calculation:
final energy = -5.4327 eV per atom
calculated formation energy = -25 kJ/mol of formula units
magnetic moment = 0.00 μB per cell

```
&SYSTEM
  ibrav = 0, nat = 10, ntyp = 3
/
ATOMIC_SPECIES
P 30.97 P.upf
Cu 63.55 Cu.upf
Ti 47.87 Ti.upf
ATOMIC_POSITIONS angstrom
P 2.1581 1.2620 1.4580
Cu 6.0095 4.2508 0.0000
Ti 3.4201 3.4201 0.0000
Cu 2.5894 6.0095 0.0000
P 4.6821 5.5781 1.4580
Cu 4.2508 0.8307 0.0000
Ti 0.0000 0.0000 0.0000
P 5.5781 2.1581 1.4580
P 1.2620 4.6821 1.4580
Cu 0.8307 2.5894 0.0000
CELL_PARAMETERS angstrom
6.8402 0.0000 0.0000
0.0000 6.8402 0.0000
0.0000 0.0000 2.9160
```

This record from Alexandria via LeMat-Bulk describes a relaxed TiCu2P crystal. The functional is PBE. Values from VASP.

Values from the calculation:
final energy = -5.5851 eV per atom
calculated formation energy = -81 kJ/mol of formula units
magnetic moment = 0.00 μB per cell

```
&SYSTEM
  ibrav = 0, nat = 8, ntyp = 3
/
ATOMIC_SPECIES
Cu 63.55 Cu.upf
P 30.97 P.upf
Ti 47.87 Ti.upf
ATOMIC_POSITIONS angstrom
Cu 2.6108 2.6398 7.0708
Cu 0.8993 2.6108 2.3569
P 1.7405 3.4810 4.7139
Ti 0.0000 0.0000 0.0000
Cu 4.3513 4.3222 7.0708
P 1.7405 1.7405 0.0000
Ti 3.4810 1.7405 4.7139
Cu 2.5817 0.8703 2.3569
CELL_PARAMETERS angstrom
3.4810 0.0000 0.0000
0.0000 3.4810 0.0000
1.7405 1.7405 9.4278
```